[1]
La2DyHoTm2 | PBE | relaxed

Lattice parameters (Å, degrees): 5.6456 10.0714 6.9514 90.00 90.00 90.00
Closest atoms and distances in Å follow each position.
Space group Pmc2_1 (No. 26)
One atom of each set of equivalent atoms:
1 La 0.0000 0.0204 0.0000  6 La 3.50-3.90, 5 Tm 3.53-3.74, 2 Dy 3.67-3.73
2 La 0.5000 0.1936 0.2671  5 Tm 3.33-3.58, 2 Ho 3.49-3.67
3 Dy 0.0000 0.3209 0.6861  5 Tm 3.20-3.55
4 Ho 0.5000 0.4828 0.9461  2 La 3.49-3.67, 2 Ho 3.49, 5 Tm 3.53-3.68, 4 Dy 3.73-3.83
5 Tm 0.0000 0.3612 0.1936  3 Dy 3.20-3.55, 2 La 3.33, 2 Ho 3.53
6 Tm 0.5000 0.1467 0.7571  2 Dy 3.36, 7 La 3.43-3.74, 1 Ho 3.63

Output
Crystal system: orthorhombic

=====

[2]
La3Dy2HoTm6 | PBE | relaxed

Lattice parameters (Å, degrees): 6.1870 10.7126 11.7282 90.00 100.11 90.00
Closest atoms and distances in Å follow each position.
Space group C2/m (No. 12)
One atom of each set of equivalent atoms:
1 La 0.0000 0.0000 0.0000  6 La 3.57, 6 Tm 3.60
2 La 0.0000 0.3333 0.0000  6 La 3.57, 6 Tm 3.60
3 Dy 0.0000 0.1666 0.5000  6 Tm 3.49, 3 Dy 3.57, 3 Ho 3.57
4 Ho 0.0000 0.5000 0.5000  6 Tm 3.49, 6 Dy 3.57
5 Tm 0.2479 0.0000 0.7442  2 Dy 3.49, 1 Ho 3.49, 6 Tm 3.57, 3 La 3.60
6 Tm 0.2478 0.3334 0.7442  1 Ho 3.49, 2 Dy 3.49, 6 Tm 3.57, 3 La 3.60

Output
Crystal system: monoclinic

=====

[3]
La2DyHoTm4 | PBE | relaxed

Lattice parameters (Å, degrees): 12.3494 7.1294 12.2939 90.00 109.57 90.00
Closest atoms and distances in Å follow each position.
Space group C2/m (No. 12)
One atom of each set of equivalent atoms:
1 La 0.0000 0.0000 0.0000  2 Ho 3.56, 4 La 3.56, 6 Tm 3.58-3.59
2 La 0.0000 0.0000 0.5000  6 Tm 3.53, 2 Ho 3.56, 4 Dy 3.56
3 La 0.2500 0.2500 0.0000  4 La 3.56, 2 Ho 3.56, 6 Tm 3.58-3.59
4 Dy 0.2500 0.2500 0.5000  6 Tm 3.52-3.53, 2 Dy 3.56, 2 Ho 3.56, 2 La 3.56
5 Ho 0.0000 0.5000 0.0000  6 La 3.56, 6 Tm 3.57
6 Ho 0.0000 0.5000 0.5000  6 Tm 3.52-3.53, 2 La 3.56, 4 Dy 3.56
7 Tm 0.0013 0.2509 0.2527  1 Dy 3.52, 2 Ho 3.53-3.57, 3 La 3.53-3.58, 6 Tm 3.55-3.58
8 Tm 0.2488 0.5000 0.7465  1 Ho 3.52, 2 Dy 3.52, 6 Tm 3.56-3.57, 3 La 3.59
9 Tm 0.2498 0.0000 0.7473  2 Dy 3.53, 3 La 3.53-3.58, 6 Tm 3.55-3.58, 1 Ho 3.57

Output
Crystal system: monoclinic

=====

[4]
LaDy5HoTm2 | PBE | relaxed

Lattice parameters (Å, degrees): 5.6027 19.8307 10.4864 90.00 90.00 90.00
Closest atoms and distances in Å follow each position.
Space group Cmc2_1 (No. 36)
One atom of each set of equivalent atoms:
1 La 0.0000 0.0828 0.0000  5 Dy 3.03-3.26
2 Dy 0.0000 0.0213 0.2884  2 La 3.03-3.26
3 Dy 0.0000 0.1140 0.5753  6 Dy 3.49-3.82, 4 Tm 3.53-3.56, 1 Ho 3.71
4 Dy 0.0000 0.2025 0.2617  4 Dy 3.38-3.73, 3 Ho 3.48-3.73, 3 Tm 3.50-3.69, 1 La 3.63
5 Dy 0.0000 0.2199 0.8666  1 La 3.06, 1 Tm 3.31, 2 Dy 3.38
6 Dy 0.0000 0.4832 0.5764  2 La 3.19, 2 Tm 3.37, 2 Dy 3.58
7 Ho 0.0000 0.3011 0.5648  2 Tm 3.40-3.62, 8 Dy 3.48-3.73, 2 La 3.69
8 Tm 0.0000 0.3867 0.8702  9 Dy 3.31-3.63, 1 Ho 3.62
9 Tm 0.0000 0.3881 0.2855  7 Dy 3.37-3.69, 1 Ho 3.40, 2 La 3.64

Output
Crystal system: orthorhombic

=====

[5]
La3Dy2Ho6Tm | PBE | relaxed

Lattice parameters (Å, degrees): 6.2064 10.7515 11.8303 90.00 100.07 90.00
Closest atoms and distances in Å follow each position.
Space group C2/m (No. 12)
One atom of each set of equivalent atoms:
1 La 0.0000 0.0000 0.0000  6 La 3.58, 6 Ho 3.63
2 La 0.0000 0.3331 0.0000  6 La 3.58-3.59, 6 Ho 3.63
3 Dy 0.0000 0.1665 0.5000  6 Ho 3.51, 3 Dy 3.58, 3 Tm 3.58-3.59
4 Ho 0.2475 0.3335 0.7438  1 Tm 3.51, 2 Dy 3.51, 6 Ho 3.58-3.59, 3 La 3.63
5 Ho 0.2480 0.0000 0.7438  2 Dy 3.51, 1 Tm 3.51, 6 Ho 3.58-3.59, 3 La 3.63
6 Tm 0.0000 0.5000 0.5000  6 Ho 3.51, 6 Dy 3.58-3.59

Output
Crystal system: monoclinic

=====

[6]
LaDyHo2Tm5 | PBE | relaxed

Lattice parameters (Å, degrees): 8.9057 8.9057 14.5553 90.00 90.00 90.00
Closest atoms and distances in Å follow each position.
Space group I4/mcm (No. 140)
One atom of each set of equivalent atoms:
1 La 0.0000 0.0000 0.2500  10 Tm 3.64-3.65
2 Dy 0.0000 0.5000 0.2500  4 Tm 3.11
3 Ho 0.1124 0.3876 0.0000  1 Ho 2.83, 2 Tm 2.98
4 Tm 0.0000 0.0000 0.0000  4 Ho 3.59, 2 La 3.64, 8 Tm 3.72
5 Tm 0.2045 0.2955 0.3700  1 Ho 2.98, 1 Dy 3.11

Output
Crystal system: tetragonal

=====

[7]
LaDy6Ho2Tm | PBE | relaxed

Lattice parameters (Å, degrees): 9.1544 15.0140 9.4549 90.00 95.64 90.00
Closest atoms and distances in Å follow each position.
Space group C2/c (No. 15)
One atom of each set of equivalent atoms:
1 La 0.0000 0.0302 0.2500  4 Ho 3.38-3.51, 4 Dy 3.57-3.73
2 Dy 0.0612 0.1855 0.9424  7 Dy 3.41-3.74, 1 Ho 3.52, 2 La 3.73-3.81
3 Dy 0.0978 0.3891 0.1156  4 Dy 3.21-3.47, 3 Ho 3.26-3.43, 2 Tm 3.41-3.50
4 Dy 0.2142 0.2269 0.3179  3 Dy 3.21-3.53, 2 Ho 3.41-3.54, 1 Tm 3.45, 1 La 3.57
5 Ho 0.2455 0.4471 0.4499  6 Dy 3.26-3.54, 2 La 3.38-3.51, 1 Tm 3.51
6 Tm 0.0000 0.4110 0.7500  6 Dy 3.41-3.50, 2 Ho 3.51

Output
Crystal system: monoclinic

=====

[8]
La2Dy6Ho3Tm | PBE | relaxed

Lattice parameters (Å, degrees): 6.1820 10.7060 11.8245 90.00 100.02 90.00
Closest atoms and distances in Å follow each position.
Space group C2/m (No. 12)
One atom of each set of equivalent atoms:
1 La 0.0000 0.1665 0.0000  3 La 3.57, 3 Tm 3.57, 6 Dy 3.61
2 Dy 0.2464 0.5000 0.7455  3 Ho 3.52-3.53, 6 Dy 3.55-3.58, 1 Tm 3.60, 2 La 3.61
3 Dy 0.2490 0.1658 0.7457  3 Ho 3.52-3.53, 6 Dy 3.55-3.58, 1 Tm 3.60, 2 La 3.61
4 Ho 0.0000 0.0000 0.5000  6 Dy 3.52-3.53, 6 Ho 3.57
5 Ho 0.0000 0.3337 0.5000  6 Dy 3.52-3.53, 6 Ho 3.56-3.57
6 Tm 0.0000 0.5000 0.0000  6 La 3.57, 6 Dy 3.60

Output
Crystal system: monoclinic

=====

The formation energy from the elements results, record by record, are as follows: 0.50; 0.32; 0.21; 1.52; 0.29; 2.59; 1.21; 0.27 eV/f.u..